Entry from Alexandria via LeMat-Bulk: crystalline ZnGeHCl2 at its relaxed geometry (PBE-GGA).

Computed properties:
Calculated total energy: -12.3 eV for the cell shown
Calculated volume: 25.7 Å³ per atom

Cell lengths 5.1487, 5.1487, 4.8508 Å; angles 90.00, 90.00, 90.00 degrees
Atoms (fractional coordinates):
Zn 0.0000 0.0000 0.0000
Ge 0.0000 0.0000 0.5000
H 0.5000 0.5000 0.0000
Cl 0.0000 0.5000 0.5000
Cl 0.5000 0.0000 0.5000

---

Entry from Alexandria via LeMat-Bulk: crystalline Hf2GeCl at its relaxed geometry (PBE-GGA).

Computed properties:
Calculated volume: 18.3 Å³ per atom
E above lowest polymorph: 0 meV per atom

Cell lengths 4.6980, 4.6980, 4.6980 Å; angles 60.00, 60.00, 60.00 degrees
Atoms (fractional coordinates):
Hf 0.2500 0.2500 0.2500
Hf 0.7500 0.7500 0.7500
Ge 0.0000 0.0000 0.0000
Cl 0.5000 0.5000 0.5000

---

Entry from Alexandria via LeMat-Bulk: crystalline HfGeCl6 at its relaxed geometry (PBE-GGA).

Computed properties:
Calculated total energy: -37.0 eV for the cell shown
Calculated volume: 31.1 Å³ per atom

Cell lengths 7.0757, 7.0757, 6.4168 Å; angles 97.59, 97.59, 126.05 degrees
Atoms (fractional coordinates):
Hf 0.0000 0.0000 0.0000
Ge 0.5000 0.5000 0.5000
Cl 0.0958 0.3681 0.2333
Cl 0.2389 0.2389 0.7635
Cl 0.3681 0.0958 0.2333
Cl 0.6319 0.9042 0.7667
Cl 0.7611 0.7611 0.2365
Cl 0.9042 0.6319 0.7667

---

Entry from Alexandria via LeMat-Bulk: crystalline HfGeCl2 at its relaxed geometry (PBE-GGA).

Computed properties:
Calculated volume: 29.4 Å³ per atom
E above lowest polymorph: 937 meV per atom

Cell lengths 7.2557, 7.2557, 7.2557 Å; angles 127.12, 127.12, 78.05 degrees
Atoms (fractional coordinates):
Hf 0.0000 0.0000 0.0000
Hf 0.7500 0.2500 0.5000
Ge 0.2500 0.7500 0.5000
Ge 0.5000 0.5000 0.0000
Cl 0.0463 0.6250 0.9213
Cl 0.3750 0.2963 0.4213
Cl 0.7037 0.1250 0.0787
Cl 0.8750 0.9537 0.5787

---

Entry from Alexandria via LeMat-Bulk: crystalline Hf3GeCl at its relaxed geometry (PBE-GGA).

Computed properties:
Calculated volume: 20.7 Å³ per atom
E above lowest polymorph: 0 meV per atom

Cell lengths 4.6964, 4.6964, 4.6964 Å; angles 90.00, 90.00, 90.00 degrees
Atoms (fractional coordinates):
Hf 0.0000 0.0000 0.5000
Hf 0.0000 0.5000 0.0000
Hf 0.5000 0.0000 0.0000
Ge 0.5000 0.5000 0.5000
Cl 0.0000 0.0000 0.0000

---

Entry from Alexandria via LeMat-Bulk: crystalline HfGe2Cl8 at its relaxed geometry (PBE-GGA).

Computed properties:
Calculated total energy: -47.5 eV for the cell shown
Calculated volume: 36.8 Å³ per atom

Cell lengths 7.6100, 7.6100, 7.5255 Å; angles 101.62, 101.62, 73.63 degrees
Atoms (fractional coordinates):
Hf 0.0000 0.0000 0.0000
Ge 0.1429 0.1429 0.6172
Ge 0.8571 0.8571 0.3828
Cl 0.1152 0.7390 0.1825
Cl 0.1816 0.1816 0.2240
Cl 0.2610 0.8848 0.8175
Cl 0.3244 0.3244 0.7568
Cl 0.6756 0.6756 0.2432
Cl 0.7390 0.1152 0.1825
Cl 0.8184 0.8184 0.7760
Cl 0.8848 0.2610 0.8175

---

Number 6 is which compound?
HfGe2Cl8